Zr2SbPd2 at its PBEsol-relaxed geometry. Source: Alexandria, functional meta-GGA SCAN.

Properties
Formation energy (no corrections) in meV per atom: -800
Space group: P4/mbm (127)
Electronic total energy in eV/atom: -33.64
V in Å³/atom: 19.0

```
data_Zr2SbPd2
_symmetry_space_group_name_H-M 'P 1'
_symmetry_Int_Tables_number 1
_symmetry_space_group_name_Hall 'P 1'
_cell_length_a 3.693
_cell_length_b 7.166
_cell_length_c 7.166
_cell_angle_alpha 90.00
_cell_angle_beta 90.00
_cell_angle_gamma 90.00
loop_
_atom_site_label
_atom_site_type_symbol
_atom_site_fract_x
_atom_site_fract_y
_atom_site_fract_z
Pd1 Pd 0.000 0.870 0.630
Pd2 Pd 0.000 0.370 0.870
Pd3 Pd 0.000 0.630 0.130
Zr1 Zr 0.500 0.169 0.669
Zr2 Zr 0.500 0.669 0.831
Sb1 Sb 0.000 0.000 0.000
Pd4 Pd 0.000 0.130 0.370
Zr3 Zr 0.500 0.831 0.331
Zr4 Zr 0.500 0.331 0.169
Sb2 Sb 0.000 0.500 0.500
```


Zr2Sb3Pd at its PBEsol-relaxed geometry. Source: Alexandria, functional meta-GGA SCAN.

Properties
Formation energy (no corrections) in meV per atom: -674
Space group: P-4m2 (115)
Electronic total energy in eV/atom: -35.00
V in Å³/atom: 21.8

```
data_Zr2Sb3Pd
_symmetry_space_group_name_H-M 'P 1'
_symmetry_Int_Tables_number 1
_symmetry_space_group_name_Hall 'P 1'
_cell_length_a 3.911
_cell_length_b 3.911
_cell_length_c 8.532
_cell_angle_alpha 90.00
_cell_angle_beta 90.00
_cell_angle_gamma 90.00
loop_
_atom_site_label
_atom_site_type_symbol
_atom_site_fract_x
_atom_site_fract_y
_atom_site_fract_z
Sb1 Sb 0.000 0.000 0.000
Zr1 Zr 0.000 0.500 0.261
Zr2 Zr 0.500 0.000 0.739
Sb2 Sb 0.500 0.000 0.380
Pd1 Pd 0.500 0.500 0.000
Sb3 Sb 0.000 0.500 0.620
```


ScPd3 at its PBEsol-relaxed geometry. Source: Alexandria, functional meta-GGA SCAN.

Properties
ΔE_f in eV per atom: -0.9002
Space group: Pm-3m (221)
Electronic total energy in eV/atom: -29.04
V in Å³/atom: 15.3

```
data_ScPd3
_symmetry_space_group_name_H-M 'P 1'
_symmetry_Int_Tables_number 1
_symmetry_space_group_name_Hall 'P 1'
_cell_length_a 3.938
_cell_length_b 3.938
_cell_length_c 3.938
_cell_angle_alpha 90.00
_cell_angle_beta 90.00
_cell_angle_gamma 90.00
loop_
_atom_site_label
_atom_site_type_symbol
_atom_site_fract_x
_atom_site_fract_y
_atom_site_fract_z
Pd1 Pd 0.500 0.500 0.000
Sc1 Sc 0.000 0.000 0.000
Pd2 Pd 0.500 0.000 0.500
Pd3 Pd 0.000 0.500 0.500
```


Sc2Pd at its PBEsol-relaxed geometry. Source: Alexandria, functional meta-GGA SCAN.

Properties
ΔE_f in eV per atom: -0.7626
Space group: Fd-3m (227)
Electronic total energy in eV/atom: -21.18
V in Å³/atom: 19.4

```
data_Sc2Pd
_symmetry_space_group_name_H-M 'P 1'
_symmetry_Int_Tables_number 1
_symmetry_space_group_name_Hall 'P 1'
_cell_length_a 8.698
_cell_length_b 8.698
_cell_length_c 8.698
_cell_angle_alpha 60.00
_cell_angle_beta 60.00
_cell_angle_gamma 60.00
loop_
_atom_site_label
_atom_site_type_symbol
_atom_site_fract_x
_atom_site_fract_y
_atom_site_fract_z
Sc1 Sc 0.934 0.566 0.934
Pd1 Pd 0.911 0.911 0.268
Sc2 Sc 0.566 0.934 0.934
Sc3 Sc 0.684 0.684 0.316
Sc4 Sc 0.934 0.566 0.566
Sc5 Sc 0.625 0.125 0.125
Pd2 Pd 0.268 0.911 0.911
Pd3 Pd 0.339 0.982 0.339
Sc6 Sc 0.684 0.316 0.316
Sc7 Sc 0.316 0.316 0.684
Sc8 Sc 0.125 0.125 0.125
Sc9 Sc 0.316 0.684 0.316
Sc10 Sc 0.125 0.625 0.125
Pd4 Pd 0.339 0.339 0.339
Sc11 Sc 0.684 0.316 0.684
Sc12 Sc 0.125 0.125 0.625
Sc13 Sc 0.934 0.934 0.566
Pd5 Pd 0.982 0.339 0.339
Pd6 Pd 0.911 0.911 0.911
Pd7 Pd 0.339 0.339 0.982
Sc14 Sc 0.316 0.684 0.684
Pd8 Pd 0.911 0.268 0.911
Sc15 Sc 0.566 0.566 0.934
Sc16 Sc 0.566 0.934 0.566
```


Sc2Si2Pd at its PBEsol-relaxed geometry. Source: Alexandria, functional meta-GGA SCAN.

Properties
Formation energy (no corrections) in meV per atom: -987
Space group: P4/mbm (127)
Electronic total energy in eV/atom: -17.24
V in Å³/atom: 16.5

```
data_Sc2Si2Pd
_symmetry_space_group_name_H-M 'P 1'
_symmetry_Int_Tables_number 1
_symmetry_space_group_name_Hall 'P 1'
_cell_length_a 4.146
_cell_length_b 6.310
_cell_length_c 6.310
_cell_angle_alpha 90.00
_cell_angle_beta 90.00
_cell_angle_gamma 90.00
loop_
_atom_site_label
_atom_site_type_symbol
_atom_site_fract_x
_atom_site_fract_y
_atom_site_fract_z
Sc1 Sc 0.500 0.331 0.169
Pd1 Pd 0.000 0.500 0.500
Si1 Si 0.000 0.135 0.365
Si2 Si 0.000 0.865 0.635
Pd2 Pd 0.000 0.000 0.000
Si3 Si 0.000 0.635 0.135
Si4 Si 0.000 0.365 0.865
Sc2 Sc 0.500 0.669 0.831
Sc3 Sc 0.500 0.169 0.669
Sc4 Sc 0.500 0.831 0.331
```


ScSnPd3 at its PBEsol-relaxed geometry. Source: Alexandria, functional meta-GGA SCAN.

Properties
ΔE_f in eV per atom: 0.1889
Space group: Pm-3m (221)
Electronic total energy in eV/atom: -29.51
V in Å³/atom: 22.3

```
data_ScSnPd3
_symmetry_space_group_name_H-M 'P 1'
_symmetry_Int_Tables_number 1
_symmetry_space_group_name_Hall 'P 1'
_cell_length_a 4.813
_cell_length_b 4.813
_cell_length_c 4.813
_cell_angle_alpha 90.00
_cell_angle_beta 90.00
_cell_angle_gamma 90.00
loop_
_atom_site_label
_atom_site_type_symbol
_atom_site_fract_x
_atom_site_fract_y
_atom_site_fract_z
Pd1 Pd 0.000 0.500 0.000
Pd2 Pd 0.000 0.000 0.500
Pd3 Pd 0.500 0.000 0.000
Sc1 Sc 0.500 0.500 0.500
Sn1 Sn 0.000 0.000 0.000
```